DFT (GGA-PBE) results for a relaxed AcPb5S7 crystal.

Lattice parameters (Å, degrees): 7.278 7.278 24.399 90.00 90.00 146.54
Atoms (fractional coordinates):
Ac1 0.209 0.791 0.500
Ac2 0.791 0.209 0.000
Pb1 0.007 0.993 0.744
Pb2 0.260 0.740 0.166
Pb3 0.279 0.721 0.818
Pb4 0.453 0.547 0.392
Pb5 0.475 0.525 0.592
Pb6 0.525 0.475 0.092
Pb7 0.547 0.453 0.892
Pb8 0.721 0.279 0.318
Pb9 0.740 0.260 0.666
Pb10 0.993 0.007 0.244
S1 0.083 0.917 0.349
S2 0.115 0.885 0.621
S3 0.172 0.828 0.063
S4 0.195 0.805 0.923
S5 0.356 0.644 0.280
S6 0.374 0.626 0.706
S7 0.439 0.561 0.990
S8 0.561 0.439 0.490
S9 0.626 0.374 0.206
S10 0.644 0.356 0.780
S11 0.805 0.195 0.423
S12 0.828 0.172 0.563
S13 0.885 0.115 0.121
S14 0.917 0.083 0.849

Results
- Total moment: 0.000 μB per atom
- Space group: Cmc2_1, No. 36
- Raw formation energy: -0.786 eV/atom

***

DFT (GGA-PBE) results for a relaxed Ho6Fe2Hg crystal.

Lattice parameters (Å, degrees): 8.321 8.321 8.321 111.91 109.33 107.21
Atoms (fractional coordinates):
Ho1 0.007 0.223 0.784
Ho2 0.188 0.293 0.481
Ho3 0.188 0.707 0.896
Ho4 0.315 0.019 0.704
Ho5 0.315 0.610 0.296
Ho6 0.439 0.223 0.216
Ho7 0.561 0.777 0.784
Ho8 0.685 0.390 0.704
Ho9 0.685 0.981 0.296
Ho10 0.812 0.293 0.104
Ho11 0.812 0.707 0.519
Ho12 0.993 0.777 0.216
Fe1 0.109 0.609 0.500
Fe2 0.387 0.000 0.387
Fe3 0.613 0.000 0.613
Fe4 0.891 0.391 0.500
Hg1 0.000 0.000 0.000
Hg2 0.500 0.500 0.000

Results
- Total moment: 0.048 μB per atom
- Energy of formation from the pure elements: -1.41 eV/f.u.
- Space group: Immm, No. 71

***

DFT (GGA-PBE) results for a relaxed Sr3Si5Rh6 crystal.

Lattice parameters (Å, degrees): 3.983 12.748 10.258 90.00 90.00 90.00
Atoms (fractional coordinates):
Sr1 0.250 0.103 0.248
Sr2 0.250 0.397 0.248
Sr3 0.250 0.750 0.239
Sr4 0.750 0.250 0.761
Sr5 0.750 0.603 0.752
Sr6 0.750 0.897 0.752
Si1 0.250 0.071 0.645
Si2 0.250 0.429 0.645
Si3 0.250 0.620 0.996
Si4 0.250 0.750 0.581
Si5 0.250 0.880 0.996
Si6 0.750 0.120 0.004
Si7 0.750 0.250 0.419
Si8 0.750 0.380 0.004
Si9 0.750 0.571 0.355
Si10 0.750 0.929 0.355
Rh1 0.250 0.051 0.899
Rh2 0.250 0.250 0.006
Rh3 0.250 0.250 0.534
Rh4 0.250 0.449 0.899
Rh5 0.250 0.580 0.486
Rh6 0.250 0.920 0.486
Rh7 0.750 0.080 0.514
Rh8 0.750 0.420 0.514
Rh9 0.750 0.551 0.101
Rh10 0.750 0.750 0.466
Rh11 0.750 0.750 0.994
Rh12 0.750 0.949 0.101

Results
- Total moment: 0.000 μB per atom
- Space group: Pmmn, No. 59
- Raw formation energy: -0.791 eV/atom

***

DFT (GGA-PBE) results for a relaxed As3Br crystal.

Lattice parameters (Å, degrees): 7.917 7.917 7.917 27.00 27.00 27.00
Atoms (fractional coordinates):
As1 0.000 0.000 0.000
As2 0.262 0.262 0.262
As3 0.738 0.738 0.738
Br1 0.500 0.500 0.500

Results
- Total moment: 0.000 μB per atom
- Space group: R-3m, No. 166
- Raw formation energy: 0.223 eV/atom

***

DFT (GGA-PBE) results for a relaxed PaH2Se2 crystal.

Lattice parameters (Å, degrees): 7.058 7.058 7.058 31.33 31.33 31.33
Atoms (fractional coordinates):
Pa1 0.000 0.000 0.000
H1 0.310 0.310 0.310
H2 0.690 0.690 0.690
Se1 0.430 0.430 0.430
Se2 0.570 0.570 0.570

Results
- Total moment: 0.000 μB per atom
- Space group: R-3m, No. 166
- Energy: -26.64 eV/cell

***

DFT (GGA-PBE) results for a relaxed Y2InPb crystal.

Lattice parameters (Å, degrees): 5.005 5.005 4.389 90.00 90.00 90.00
Atoms (fractional coordinates):
Y1 0.000 0.500 0.000
Y2 0.500 0.000 0.000
In1 0.000 0.000 0.500
Pb1 0.500 0.500 0.500

Results
- Total moment: 0.000 μB per atom
- Energy of formation from the pure elements: -1.89 eV/f.u.
- Space group: P4/mmm, No. 123

***

DFT (GGA-PBE) results for a relaxed LaMgAl2Ag4 crystal.

Lattice parameters (Å, degrees): 9.432 9.432 9.432 27.97 27.97 27.97
Atoms (fractional coordinates):
La1 0.000 0.000 0.000
Mg1 0.500 0.500 0.500
Al1 0.244 0.244 0.244
Al2 0.756 0.756 0.756
Ag1 0.132 0.132 0.132
Ag2 0.401 0.401 0.401
Ag3 0.599 0.599 0.599
Ag4 0.868 0.868 0.868

Results
- Total moment: 0.000 μB per atom
- Energy of formation from the pure elements: -1.80 eV/f.u.
- Space group: R-3m, No. 166

***

DFT (GGA-PBE) results for a relaxed YCuPb2 crystal.

Lattice parameters (Å, degrees): 5.224 5.224 5.224 60.00 60.00 60.00
Atoms (fractional coordinates):
Y1 0.000 0.000 0.000
Cu1 0.500 0.500 0.500
Pb1 0.250 0.250 0.250
Pb2 0.750 0.750 0.750

Results
- Total moment: 0.000 μB per atom
- Energy of formation from the pure elements: 0.08 eV/f.u.
- Space group: Fm-3m, No. 225

***

> Which formula does entry 5 have?

PaH2Se2